Computed, not measured: an optimized crystal structure of BeTl2VF6 at the PBE+U level of DFT.

Computed properties:
DFT total energy: -5.07 eV per atom

a = 5.5114 Å, b = 5.5115 Å, c = 6.0980 Å
α = 63.20°, β = 63.19°, γ = 90.11°
Each line ends with the local moment (μB).
Positions (direct):
F  0.2822  0.7179  0.9999  0.01
F  0.7758  0.7758  0.4483  0.01
Tl  0.2500  0.7500  0.5000  0.00
Be  0.5000  0.5000  0.0000  0.00
F  0.2842  0.2842  0.0000  0.01
F  0.2242  0.2242  0.5517  0.01
Tl  0.7500  0.2500  0.5000  0.00
F  0.7158  0.7158  0.0000  0.01
V  0.0000  0.0000  0.0000  2.75
F  0.7178  0.2821  0.0001  0.01